No. 1
This record from the Alexandria database describes a relaxed structure of Ba2SbCl. The functional is PBEsol.

```
data_Ba2SbCl
_chemical_formula_sum 'Ba2 Sb1 Cl1'
_cell_length_a 5.775
_cell_length_b 5.775
_cell_length_c 5.775
_cell_angle_alpha 60.00
_cell_angle_beta 60.00
_cell_angle_gamma 60.00
_symmetry_space_group_name_H-M 'P 1'
_symmetry_Int_Tables_number 1
_symmetry_space_group_name_Hall 'P 1'
loop_
_atom_site_label
_atom_site_fract_x
_atom_site_fract_y
_atom_site_fract_z
Ba1 0.250 0.250 0.250
Ba2 0.750 0.750 0.750
Sb1 0.000 0.000 0.000
Cl1 0.500 0.500 0.500
```

- Formation energy (no corrections): -1.54 eV per atom
- Total magnetization: 0.0 μB per formula unit

***

No. 2
This record from the Alexandria database describes a relaxed structure of BaSbTe2Cl. The functional is PBEsol.

```
data_BaSbTe2Cl
_chemical_formula_sum 'Ba1 Sb1 Te2 Cl1'
_cell_length_a 6.449
_cell_length_b 6.449
_cell_length_c 6.561
_cell_angle_alpha 90.00
_cell_angle_beta 90.00
_cell_angle_gamma 90.00
_symmetry_space_group_name_H-M 'P 1'
_symmetry_Int_Tables_number 1
_symmetry_space_group_name_Hall 'P 1'
loop_
_atom_site_label
_atom_site_fract_x
_atom_site_fract_y
_atom_site_fract_z
Ba1 0.000 0.000 0.000
Sb1 0.000 0.000 0.500
Te1 0.000 0.500 0.000
Te2 0.500 0.000 0.000
Cl1 0.500 0.500 0.500
```

- Density of states at the Fermi level: 8.389 states/eV/cell
- Formation energy (no corrections): 0.64 eV per atom
- Total magnetization: 1.1 μB per formula unit

***

No. 3
This record from the Alexandria database describes a relaxed structure of Ba2ScCl7. The functional is PBEsol.

```
data_Ba2ScCl7
_chemical_formula_sum 'Ba8 Sc4 Cl28'
_cell_length_a 6.843
_cell_length_b 13.404
_cell_length_c 12.215
_cell_angle_alpha 90.00
_cell_angle_beta 97.23
_cell_angle_gamma 90.00
_symmetry_space_group_name_H-M 'P 1'
_symmetry_Int_Tables_number 1
_symmetry_space_group_name_Hall 'P 1'
loop_
_atom_site_label
_atom_site_fract_x
_atom_site_fract_y
_atom_site_fract_z
Ba1 0.191 0.000 0.270
Ba2 0.247 0.420 0.375
Ba3 0.254 0.764 0.873
Ba4 0.264 0.175 0.737
Ba5 0.736 0.675 0.263
Ba6 0.746 0.264 0.127
Ba7 0.753 0.920 0.625
Ba8 0.809 0.500 0.730
Sc1 0.288 0.713 0.457
Sc2 0.332 0.477 0.950
Sc3 0.668 0.977 0.050
Sc4 0.712 0.213 0.543
Cl1 0.013 0.835 0.419
Cl2 0.036 0.578 0.962
Cl3 0.045 0.589 0.496
Cl4 0.100 0.344 0.872
Cl5 0.116 0.219 0.282
Cl6 0.133 0.966 0.771
Cl7 0.246 0.651 0.264
Cl8 0.341 0.551 0.764
Cl9 0.360 0.399 0.132
Cl10 0.382 0.783 0.638
Cl11 0.389 0.873 0.096
Cl12 0.443 0.085 0.516
Cl13 0.458 0.120 0.978
Cl14 0.487 0.341 0.609
Cl15 0.513 0.841 0.391
Cl16 0.542 0.620 0.022
Cl17 0.557 0.585 0.484
Cl18 0.611 0.373 0.904
Cl19 0.618 0.283 0.362
Cl20 0.640 0.899 0.868
Cl21 0.659 0.051 0.236
Cl22 0.754 0.151 0.736
Cl23 0.867 0.466 0.229
Cl24 0.884 0.719 0.718
Cl25 0.900 0.844 0.128
Cl26 0.955 0.089 0.504
Cl27 0.964 0.078 0.038
Cl28 0.987 0.335 0.581
```

- Density of states at the Fermi level: 0.000 states/eV/cell
- Formation energy (no corrections): -2.36 eV per atom
- Total magnetization: 0.0 μB per formula unit

***

No. 4
This record from the Alexandria database describes a relaxed structure of BaScCl. The functional is PBEsol.

```
data_BaScCl
_chemical_formula_sum 'Ba1 Sc1 Cl1'
_cell_length_a 7.221
_cell_length_b 7.221
_cell_length_c 7.221
_cell_angle_alpha 152.15
_cell_angle_beta 152.15
_cell_angle_gamma 39.79
_symmetry_space_group_name_H-M 'P 1'
_symmetry_Int_Tables_number 1
_symmetry_space_group_name_Hall 'P 1'
loop_
_atom_site_label
_atom_site_fract_x
_atom_site_fract_y
_atom_site_fract_z
Ba1 0.000 0.000 0.000
Sc1 0.710 0.710 0.000
Cl1 0.321 0.321 0.000
```

- Density of states at the Fermi level: 4.352 states/eV/cell
- Formation energy (no corrections): -0.62 eV per atom
- Energy above the lowest structure with this stoichiometry: 0.41 eV per formula unit
- Total magnetization: 1.4 μB per formula unit

***

No. 5
This record from the Alexandria database describes a relaxed structure of Ba2ScCl7. The functional is PBEsol.

```
data_Ba2ScCl7
_chemical_formula_sum 'Ba8 Sc4 Cl28'
_cell_length_a 6.878
_cell_length_b 13.266
_cell_length_c 12.246
_cell_angle_alpha 90.00
_cell_angle_beta 98.18
_cell_angle_gamma 90.00
_symmetry_space_group_name_H-M 'P 1'
_symmetry_Int_Tables_number 1
_symmetry_space_group_name_Hall 'P 1'
loop_
_atom_site_label
_atom_site_fract_x
_atom_site_fract_y
_atom_site_fract_z
Ba1 0.244 0.159 0.004
Ba2 0.244 0.341 0.504
Ba3 0.248 0.579 0.123
Ba4 0.248 0.921 0.623
Ba5 0.752 0.079 0.377
Ba6 0.752 0.421 0.877
Ba7 0.756 0.659 0.496
Ba8 0.756 0.841 0.996
Sc1 0.301 0.629 0.703
Sc2 0.301 0.871 0.203
Sc3 0.699 0.129 0.797
Sc4 0.699 0.371 0.297
Cl1 0.030 0.742 0.723
Cl2 0.030 0.758 0.223
Cl3 0.046 0.002 0.146
Cl4 0.046 0.498 0.646
Cl5 0.125 0.126 0.531
Cl6 0.125 0.374 0.031
Cl7 0.288 0.697 0.511
Cl8 0.288 0.803 0.011
Cl9 0.368 0.556 0.886
Cl10 0.368 0.944 0.386
Cl11 0.450 0.009 0.854
Cl12 0.450 0.491 0.354
Cl13 0.453 0.235 0.248
Cl14 0.453 0.265 0.748
Cl15 0.547 0.735 0.252
Cl16 0.547 0.765 0.752
Cl17 0.550 0.509 0.646
Cl18 0.550 0.991 0.146
Cl19 0.632 0.056 0.614
Cl20 0.632 0.444 0.114
Cl21 0.712 0.197 0.989
Cl22 0.712 0.303 0.489
Cl23 0.875 0.626 0.969
Cl24 0.875 0.874 0.469
Cl25 0.954 0.502 0.354
Cl26 0.954 0.998 0.854
Cl27 0.970 0.242 0.777
Cl28 0.970 0.258 0.277
```

- Density of states at the Fermi level: 0.000 states/eV/cell
- Formation energy (no corrections): -2.36 eV per atom
- Total magnetization: 0.0 μB per formula unit

***

No. 6
This record from the Alexandria database describes a relaxed structure of BaScCl. The functional is PBEsol.

```
data_BaScCl
_chemical_formula_sum 'Ba1 Sc1 Cl1'
_cell_length_a 3.635
_cell_length_b 3.635
_cell_length_c 7.360
_cell_angle_alpha 90.00
_cell_angle_beta 90.00
_cell_angle_gamma 120.00
_symmetry_space_group_name_H-M 'P 1'
_symmetry_Int_Tables_number 1
_symmetry_space_group_name_Hall 'P 1'
loop_
_atom_site_label
_atom_site_fract_x
_atom_site_fract_y
_atom_site_fract_z
Ba1 0.000 0.000 0.000
Sc1 0.667 0.333 0.410
Cl1 0.333 0.667 0.644
```

- Density of states at the Fermi level: 2.856 states/eV/cell
- Formation energy (no corrections): -0.76 eV per atom
- Energy above the lowest structure with this stoichiometry: 0.00 eV per formula unit
- Total magnetization: 0.9 μB per formula unit